A geometry-optimized Hf2GaS2 structure. Source: Alexandria via LeMat-Bulk, functional PBE-GGA.

abc: 7.3404 7.3404 3.2680
angles: 90.00 90.00 90.00
Closest atoms and distances in Å follow each position.
Atoms (fractional coordinates):
Ga  0.5000  0.5000  0.0000  4 Hf 2.78
Hf  0.1538  0.3462  0.0000  6 S 2.69-2.72, 2 Ga 2.78
Hf  0.6538  0.1538  0.0000  6 S 2.69-2.72, 2 Ga 2.78
S  0.3636  0.1364  0.5000  6 Hf 2.69-2.72, 1 S 2.83
Hf  0.3462  0.8462  0.0000  6 S 2.69-2.72, 2 Ga 2.78
S  0.6364  0.8636  0.5000  6 Hf 2.69-2.72, 1 S 2.83
S  0.8636  0.3636  0.5000  6 Hf 2.69-2.72, 1 S 2.83
Hf  0.8462  0.6538  0.0000  6 S 2.69-2.72, 2 Ga 2.78
S  0.1364  0.6364  0.5000  6 Hf 2.69-2.72, 1 S 2.83
Ga  0.0000  0.0000  0.0000  4 Hf 2.78

Computed properties:
The calculation puts the uncorrected formation energy at -81 kJ per mole of atoms. For the energy above the most stable polymorph in this dataset, the calculation gives 0.0 meV/atom. For the total DFT energy (no corrections), the calculation gives -7.0807 eV/atom.